Record 1
# PmNdCuRu, relaxed, DFT PBE
data_PmNdCuRu
_cell_length_a 7.0686
_cell_length_b 7.0686
_cell_length_c 7.0686
_cell_angle_alpha 90.00
_cell_angle_beta 90.00
_cell_angle_gamma 90.00
_space_group_name_H-M_alt 'P 1'
_space_group_IT_number 1
loop_
_space_group_symop_operation_xyz
'x,y,z'
loop_
_atom_site_label
_atom_site_type_symbol
_atom_site_fract_x
_atom_site_fract_y
_atom_site_fract_z
Pm1 Pm 0.0000 0.0000 0.0000
Pm2 Pm 0.0000 0.5000 0.5000
Pm3 Pm 0.5000 0.0000 0.5000
Pm4 Pm 0.5000 0.5000 0.0000
Nd1 Nd 0.0000 0.0000 0.5000
Nd2 Nd 0.0000 0.5000 0.0000
Nd3 Nd 0.5000 0.0000 0.0000
Nd4 Nd 0.5000 0.5000 0.5000
Cu1 Cu 0.2500 0.2500 0.7500
Cu2 Cu 0.2500 0.7500 0.2500
Cu3 Cu 0.7500 0.2500 0.2500
Cu4 Cu 0.7500 0.7500 0.7500
Ru1 Ru 0.2500 0.2500 0.2500
Ru2 Ru 0.2500 0.7500 0.7500
Ru3 Ru 0.7500 0.2500 0.7500
Ru4 Ru 0.7500 0.7500 0.2500
# Total moment   0.000 μB/f.u.
# VASP energy   -94.52 eV per cell
# ΔE to the lowest computed polymorph   15 meV per atom
# Crystal system   cubic
# Formation energy   -0.1848 eV per atom

Record 2
# Pm2NdCuS5, relaxed, DFT PBE
data_Pm2NdCuS5
_cell_length_a 8.9585
_cell_length_b 8.9585
_cell_length_c 11.5391
_cell_angle_alpha 90.00
_cell_angle_beta 90.00
_cell_angle_gamma 154.69
_space_group_name_H-M_alt 'P 1'
_space_group_IT_number 1
loop_
_space_group_symop_operation_xyz
'x,y,z'
loop_
_atom_site_label
_atom_site_type_symbol
_atom_site_fract_x
_atom_site_fract_y
_atom_site_fract_z
Pm1 Pm 0.1033 0.8967 0.5000
Pm2 Pm 0.1152 0.8848 0.1270
Pm3 Pm 0.8848 0.1152 0.6270
Pm4 Pm 0.8967 0.1033 0.0000
Nd1 Nd 0.1957 0.8043 0.8262
Nd2 Nd 0.8043 0.1957 0.3262
Cu1 Cu 0.4413 0.5587 0.2694
Cu2 Cu 0.5587 0.4413 0.7694
S1 S 0.0420 0.9580 0.8757
S2 S 0.2931 0.7069 0.5017
S3 S 0.3237 0.6763 0.1566
S4 S 0.3596 0.6404 0.8184
S5 S 0.4981 0.5019 0.5941
S6 S 0.5019 0.4981 0.0941
S7 S 0.6404 0.3596 0.3184
S8 S 0.6763 0.3237 0.6566
S9 S 0.7069 0.2931 0.0017
S10 S 0.9580 0.0420 0.3757
# Formation energy from raw total energies   -1709 meV per atom
# Total moment   0.000 μB/f.u.
# VASP energy   -108.77 eV per cell
# Crystal system   orthorhombic